{"formula": "Tl2ZnInF6", "functional": "GGA-PBE", "state": "relaxed", "spacegroup": "C2/m (12)", "e_above_lowest_polymorph_ev_per_fu": 0.00, "total_energy_ev_per_atom": -3.996, "crystal_system": "monoclinic", "lattice": [[6.0370, 0.0000, 0.0000], [0.0000, 6.1113, 0.0000], [-6.0051, 0.0000, 8.5780]], "species": ["F", "F", "F", "F", "F", "F", "F", "F", "F", "F", "F", "F", "In", "In", "Tl", "Tl", "Tl", "Tl", "Zn", "Zn"], "frac_coords": [[0.2611, 0.7630, 0.0003], [0.2610, 0.2368, 0.0004], [0.7382, 0.0003, 0.2380], [0.2618, 0.5003, 0.2620], [0.7390, 0.7368, 0.4996], [0.7389, 0.2630, 0.4997], [0.2611, 0.7370, 0.5003], [0.2610, 0.2632, 0.5004], [0.7382, 0.4997, 0.7380], [0.2618, 0.9997, 0.7620], [0.7390, 0.7632, 0.9996], [0.7389, 0.2370, 0.9997], [0.0000, 0.5000, 0.0000], [0.0000, 0.0000, 0.5000], [0.7473, 0.5003, 0.2477], [0.2527, 0.0003, 0.2523], [0.7473, 0.9997, 0.7477], [0.2527, 0.4997, 0.7523], [0.5000, 0.0000, 0.0000], [0.5000, 0.5000, 0.5000]]}